Below is a crystal of ZrAl2 relaxed with PBEsol, with properties calculated at the meta-GGA SCAN level.

Computed properties:
crystal system	hexagonal
SG	P6/mmm, No. 191
calculated formation energy	-0.48	eV/atom

Unit cell a=4.398 b=4.398 c=3.162 alpha=90.00 beta=90.00 gamma=120.00
Fractional positions:
Zr 0.000 0.000 0.000
Al 0.333 0.667 0.500
Al 0.667 0.333 0.500

=====

Below is a crystal of Zr2Al relaxed with PBEsol, with properties calculated at the meta-GGA SCAN level.

Computed properties:
crystal system	orthorhombic
SG	Immm, No. 71
calculated formation energy	-0.32	eV/atom

Unit cell a=3.213 b=3.981 c=9.350 alpha=90.00 beta=90.00 gamma=90.00
Fractional positions:
Zr 0.000 0.000 0.160
Zr 0.000 0.000 0.840
Zr 0.500 0.500 0.340
Zr 0.500 0.500 0.660
Al 0.000 0.000 0.500
Al 0.500 0.500 0.000

=====

Below is a crystal of ZrAl2 relaxed with PBEsol, with properties calculated at the meta-GGA SCAN level.

Computed properties:
crystal system	hexagonal
SG	P6_3/mmc, No. 194
calculated formation energy	-0.58	eV/atom

Unit cell a=5.250 b=5.250 c=8.702 alpha=90.00 beta=90.00 gamma=120.00
Fractional positions:
Zr 0.333 0.667 0.065
Zr 0.333 0.667 0.435
Zr 0.667 0.333 0.565
Zr 0.667 0.333 0.935
Al 0.000 0.000 0.000
Al 0.000 0.000 0.500
Al 0.171 0.342 0.750
Al 0.171 0.829 0.750
Al 0.342 0.171 0.250
Al 0.658 0.829 0.750
Al 0.829 0.171 0.250
Al 0.829 0.658 0.250

=====

Below is a crystal of Zr4Al3 relaxed with PBEsol, with properties calculated at the meta-GGA SCAN level.

Computed properties:
crystal system	hexagonal
SG	P6/mmm, No. 191
calculated formation energy	-0.49	eV/atom

Unit cell a=5.390 b=5.390 c=5.335 alpha=90.00 beta=90.00 gamma=120.00
Fractional positions:
Zr 0.000 0.000 0.240
Zr 0.000 0.000 0.760
Zr 0.333 0.667 0.000
Zr 0.667 0.333 0.000
Al 0.000 0.500 0.500
Al 0.500 0.000 0.500
Al 0.500 0.500 0.500

=====

Below is a crystal of ZrAl7 relaxed with PBEsol, with properties calculated at the meta-GGA SCAN level.

Computed properties:
crystal system	cubic
SG	Fm-3m, No. 225
calculated formation energy	-0.18	eV/atom

Unit cell a=5.752 b=5.752 c=5.752 alpha=60.00 beta=60.00 gamma=60.00
Fractional positions:
Zr 0.000 0.000 0.000
Al 0.000 0.000 0.500
Al 0.000 0.500 0.000
Al 0.000 0.500 0.500
Al 0.500 0.000 0.000
Al 0.500 0.000 0.500
Al 0.500 0.500 0.000
Al 0.500 0.500 0.500

=====

Below is a crystal of ZrAl5 relaxed with PBEsol, with properties calculated at the meta-GGA SCAN level.

Computed properties:
crystal system	monoclinic
SG	Cm, No. 8
calculated formation energy	-0.18	eV/atom

Unit cell a=10.522 b=2.989 c=6.793 alpha=90.00 beta=104.14 gamma=90.00
Fractional positions:
Zr 0.000 0.000 0.000
Zr 0.500 0.500 0.000
Al 0.117 0.500 0.722
Al 0.165 0.500 0.338
Al 0.276 0.000 0.057
Al 0.339 0.000 0.658
Al 0.447 0.500 0.392
Al 0.617 0.000 0.722
Al 0.665 0.000 0.338
Al 0.776 0.500 0.057
Al 0.839 0.500 0.658
Al 0.947 0.000 0.392

=====

Below is a crystal of Zr2Al relaxed with PBEsol, with properties calculated at the meta-GGA SCAN level.

Computed properties:
crystal system	hexagonal
SG	P6_3/mmc, No. 194
calculated formation energy	-0.38	eV/atom

Unit cell a=4.854 b=4.854 c=5.852 alpha=90.00 beta=90.00 gamma=120.00
Fractional positions:
Zr 0.000 0.000 0.000
Zr 0.000 0.000 0.500
Zr 0.333 0.667 0.250
Zr 0.667 0.333 0.750
Al 0.333 0.667 0.750
Al 0.667 0.333 0.250

=====

Below is a crystal of Zr8Al relaxed with PBEsol, with properties calculated at the meta-GGA SCAN level.

Computed properties:
crystal system	tetragonal
SG	I4/mmm, No. 139
calculated formation energy	-0.09	eV/atom

Unit cell a=7.057 b=7.057 c=7.057 alpha=95.17 beta=95.17 gamma=145.07
Fractional positions:
Zr 0.000 0.331 0.331
Zr 0.000 0.669 0.669
Zr 0.331 0.000 0.331
Zr 0.338 0.338 0.676
Zr 0.338 0.662 0.000
Zr 0.662 0.338 0.000
Zr 0.662 0.662 0.324
Zr 0.669 0.000 0.669
Al 0.000 0.000 0.000

=====

Please write out number 6 again, unchanged.
Below is a crystal of ZrAl5 relaxed with PBEsol, with properties calculated at the meta-GGA SCAN level.

Computed properties:
crystal system	monoclinic
SG	Cm, No. 8
calculated formation energy	-0.18	eV/atom

Unit cell a=10.522 b=2.989 c=6.793 alpha=90.00 beta=104.14 gamma=90.00
Fractional positions:
Zr 0.000 0.000 0.000
Zr 0.500 0.500 0.000
Al 0.117 0.500 0.722
Al 0.165 0.500 0.338
Al 0.276 0.000 0.057
Al 0.339 0.000 0.658
Al 0.447 0.500 0.392
Al 0.617 0.000 0.722
Al 0.665 0.000 0.338
Al 0.776 0.500 0.057
Al 0.839 0.500 0.658
Al 0.947 0.000 0.392

=====

Question: The lowest calculated formation energy belongs to which entry?
Answer: number 3

=====

Question: Among the records above, which one has the lowest calculated formation energy?
Answer: number 3